# 1
ReTc4 | Alexandria via LeMat-Bulk | GGA-PBEsol | relaxed; formation energy = 68.2 meV/atom; calculated volume = 71 Å³/f.u.; theoretical density = 13570 kg/m3; electronic total energy = -11.611 eV per atom
1.0
-1.052 2.738 2.478
2.096 -0.303 4.199
2.664 3.872 -0.173
Re Tc
1 4
direct
0.000 0.000 0.000 Re
0.801 0.798 0.600 Tc
0.199 0.202 0.400 Tc
0.599 0.600 0.202 Tc
0.401 0.400 0.798 Tc

# 2
ReTc2 | Alexandria via LeMat-Bulk | GGA-PBEsol | relaxed; formation energy = 68.0 meV/atom; calculated volume = 43 Å³/f.u.; theoretical density = 14858 kg/m3; electronic total energy = -11.887 eV per atom
1.0
2.722 0.000 0.000
-1.361 2.357 0.000
0.000 0.000 6.659
Re Tc
1 2
direct
0.000 0.000 0.000 Re
0.667 0.333 0.665 Tc
0.333 0.667 0.335 Tc

# 3
Re12Tc17 | Alexandria via LeMat-Bulk | GGA-PBEsol | relaxed; formation energy = 65.4 meV/atom; calculated volume = 424 Å³/f.u.; theoretical density = 15276 kg/m3; electronic total energy = -12.056 eV per atom
1.0
-7.114 -1.712 3.695
3.228 -6.894 -3.040
5.184 3.279 5.438
Re Tc
12 17
direct
0.000 0.194 0.376 Re
0.000 0.376 0.194 Re
0.182 0.806 0.806 Re
0.818 0.624 0.624 Re
0.806 0.806 0.182 Re
0.624 0.624 0.818 Re
0.194 0.376 0.000 Re
0.376 0.194 0.000 Re
0.194 0.000 0.376 Re
0.376 0.000 0.194 Re
0.624 0.818 0.624 Re
0.806 0.182 0.806 Re
0.000 0.684 0.402 Tc
0.000 0.402 0.684 Tc
0.718 0.316 0.316 Tc
0.282 0.598 0.598 Tc
0.316 0.316 0.718 Tc
0.598 0.598 0.282 Tc
0.684 0.402 0.000 Tc
0.402 0.684 0.000 Tc
0.684 0.000 0.402 Tc
0.402 0.000 0.684 Tc
0.598 0.282 0.598 Tc
0.316 0.718 0.316 Tc
0.000 0.000 0.647 Tc
0.000 0.647 0.000 Tc
0.647 0.000 0.000 Tc
0.353 0.353 0.353 Tc
0.000 0.000 0.000 Tc

# 4
ReTc3 | Alexandria via LeMat-Bulk | GGA-PBEsol | relaxed; formation energy = -2.9 meV/atom; calculated volume = 57 Å³/f.u.; theoretical density = 14113 kg/m3; electronic total energy = -11.786 eV per atom
1.0
-2.882 2.846 1.678
-4.063 -3.477 -1.080
2.577 -0.223 4.804
Re Tc
2 6
direct
0.750 0.667 0.333 Re
0.250 0.333 0.667 Re
0.750 0.167 0.334 Tc
0.250 0.833 0.666 Tc
0.750 0.167 0.833 Tc
0.250 0.833 0.167 Tc
0.750 0.666 0.833 Tc
0.250 0.334 0.167 Tc

# 5
Re5Tc | Alexandria via LeMat-Bulk | GGA-PBEsol | relaxed; formation energy = -1.8 meV/atom; calculated volume = 87 Å³/f.u.; theoretical density = 19650 kg/m3; electronic total energy = -12.990 eV per atom
1.0
2.749 0.000 -0.001
0.000 4.429 0.000
-1.376 0.000 7.144
Re Tc
5 1
direct
0.000 0.000 0.001 Re
0.333 0.000 0.667 Re
0.666 0.000 0.333 Re
0.445 0.500 0.890 Re
0.778 0.500 0.554 Re
0.112 0.500 0.223 Tc

# 6
Re3Tc | Alexandria via LeMat-Bulk | GGA-PBEsol | relaxed; formation energy = -2.6 meV/atom; calculated volume = 58 Å³/f.u.; theoretical density = 18866 kg/m3; electronic total energy = -12.818 eV per atom
1.0
-2.661 -3.494 -0.595
4.145 -2.764 -2.301
-0.823 -0.296 5.418
Re Tc
6 2
direct
0.750 0.167 0.333 Re
0.250 0.833 0.667 Re
0.750 0.167 0.833 Re
0.250 0.833 0.167 Re
0.750 0.667 0.833 Re
0.250 0.333 0.167 Re
0.750 0.667 0.333 Tc
0.250 0.333 0.667 Tc

> Number 1 is which compound?

ReTc4